Record 1
A relaxed LaPmSnHg crystal, computed with PBE-GGA.

Cell and atoms, written as POSCAR:
```
LaPmSnHg
1.0
7.7589 0.0000 0.0000
0.0000 7.7589 0.0000
0.0000 0.0000 7.7589
La Pm Sn Hg
4 4 4 4
Direct
0.0000 0.0000 0.0000
0.0000 0.5000 0.5000
0.5000 0.0000 0.5000
0.5000 0.5000 0.0000
0.0000 0.0000 0.5000
0.0000 0.5000 0.0000
0.5000 0.0000 0.0000
0.5000 0.5000 0.5000
0.2500 0.2500 0.7500
0.2500 0.7500 0.2500
0.7500 0.2500 0.2500
0.7500 0.7500 0.7500
0.2500 0.2500 0.2500
0.2500 0.7500 0.7500
0.7500 0.2500 0.7500
0.7500 0.7500 0.2500
```

Record 2
A relaxed La2PmSn2Hg2 crystal, computed with PBE-GGA.

Cell and atoms, written as POSCAR:
```
La2PmSn2Hg2
1.0
2.5096 1.4489 9.3836
-2.5096 1.4489 9.3836
0.0000 -2.8978 9.3836
La Pm Sn Hg
2 1 2 2
Direct
0.1316 0.1316 0.1316
0.8684 0.8684 0.8684
0.0000 0.0000 0.0000
0.2730 0.2730 0.2730
0.7270 0.7270 0.7270
0.4240 0.4240 0.4240
0.5760 0.5760 0.5760
```

Record 3
A relaxed LaTbPm2Hg4 crystal, computed with PBE-GGA.

Cell and atoms, written as POSCAR:
```
LaTbPm2Hg4
1.0
2.6950 1.5560 8.8631
-2.6950 1.5560 8.8631
0.0000 -3.1119 8.8631
La Tb Pm Hg
1 1 2 4
Direct
0.0000 0.0000 0.0000
0.5000 0.5000 0.5000
0.2494 0.2494 0.2494
0.7506 0.7506 0.7506
0.1275 0.1275 0.1275
0.3786 0.3786 0.3786
0.6214 0.6214 0.6214
0.8725 0.8725 0.8725
```

Record 4
A relaxed La2TbPm2Hg5 crystal, computed with PBE-GGA.

Cell and atoms, written as POSCAR:
```
La2TbPm2Hg5
1.0
11.1268 0.0000 0.0000
0.0000 11.1268 0.0000
0.0000 0.0000 4.6078
La Tb Pm Hg
4 2 4 10
Direct
0.1759 0.3241 0.0000
0.3241 0.8241 0.0000
0.6759 0.1759 0.0000
0.8241 0.6759 0.0000
0.0000 0.0000 0.0000
0.5000 0.5000 0.0000
0.1277 0.6277 0.0000
0.3723 0.1277 0.0000
0.6277 0.8723 0.0000
0.8723 0.3723 0.0000
0.0000 0.5000 0.5000
0.0802 0.8164 0.5000
0.1836 0.0802 0.5000
0.3164 0.5802 0.5000
0.4198 0.3164 0.5000
0.5000 0.0000 0.5000
0.5802 0.6836 0.5000
0.6836 0.4198 0.5000
0.8164 0.9198 0.5000
0.9198 0.1836 0.5000
```

Record 5
A relaxed LaPmThHg crystal, computed with PBE-GGA.

Cell and atoms, written as POSCAR:
```
LaPmThHg
1.0
7.8759 0.0000 0.0000
0.0000 7.8759 0.0000
0.0000 0.0000 7.8759
La Pm Th Hg
4 4 4 4
Direct
0.0000 0.0000 0.0000
0.0000 0.5000 0.5000
0.5000 0.0000 0.5000
0.5000 0.5000 0.0000
0.2500 0.2500 0.7500
0.2500 0.7500 0.2500
0.7500 0.2500 0.2500
0.7500 0.7500 0.7500
0.0000 0.0000 0.5000
0.0000 0.5000 0.0000
0.5000 0.0000 0.0000
0.5000 0.5000 0.5000
0.2500 0.2500 0.2500
0.2500 0.7500 0.7500
0.7500 0.2500 0.7500
0.7500 0.7500 0.2500
```

Record 6
A relaxed LaPm2Tl2Hg2 crystal, computed with PBE-GGA.

Cell and atoms, written as POSCAR:
```
LaPm2Tl2Hg2
1.0
2.5341 1.4631 9.1802
-2.5341 1.4631 9.1802
0.0000 -2.9262 9.1802
La Pm Tl Hg
1 2 2 2
Direct
0.0000 0.0000 0.0000
0.1342 0.1342 0.1342
0.8658 0.8658 0.8658
0.2704 0.2704 0.2704
0.7296 0.7296 0.7296
0.4338 0.4338 0.4338
0.5662 0.5662 0.5662
```

Record 7
A relaxed La3Pm3Tl2Hg crystal, computed with PBE-GGA.

Cell and atoms, written as POSCAR:
```
La3Pm3Tl2Hg
1.0
9.2680 0.0000 0.0000
-4.6340 8.0263 0.0000
0.0000 0.0000 3.8585
La Pm Tl Hg
3 3 2 1
Direct
0.0000 0.7235 0.0000
0.2765 0.2765 0.0000
0.7235 0.0000 0.0000
0.0000 0.3938 0.5000
0.3938 0.0000 0.5000
0.6062 0.6062 0.5000
0.3333 0.6667 0.0000
0.6667 0.3333 0.0000
0.0000 0.0000 0.5000
```

Record 8
A relaxed La3Pm3TlHg2 crystal, computed with PBE-GGA.

Cell and atoms, written as POSCAR:
```
La3Pm3TlHg2
1.0
9.1658 0.0000 0.0000
-4.5829 7.9378 0.0000
0.0000 0.0000 3.8924
La Pm Tl Hg
3 3 1 2
Direct
0.0000 0.2877 0.0000
0.2877 0.0000 0.0000
0.7123 0.7123 0.0000
0.0000 0.6116 0.5000
0.3884 0.3884 0.5000
0.6116 0.0000 0.5000
0.0000 0.0000 0.5000
0.3333 0.6667 0.0000
0.6667 0.3333 0.0000
```

Record 9
A relaxed LaPmTm2Hg4 crystal, computed with PBE-GGA.

Cell and atoms, written as POSCAR:
```
LaPmTm2Hg4
1.0
2.6695 1.5412 8.7358
-2.6695 1.5412 8.7358
0.0000 -3.0825 8.7358
La Pm Tm Hg
1 1 2 4
Direct
0.0000 0.0000 0.0000
0.5000 0.5000 0.5000
0.2493 0.2493 0.2493
0.7507 0.7507 0.7507
0.1266 0.1266 0.1266
0.3768 0.3768 0.3768
0.6232 0.6232 0.6232
0.8734 0.8734 0.8734
```

Record 10
A relaxed LaPmTmHg crystal, computed with PBE-GGA.

Cell and atoms, written as POSCAR:
```
LaPmTmHg
1.0
3.6825 0.0000 0.0000
0.0000 3.6825 0.0000
0.0000 0.0000 8.9806
La Pm Tm Hg
1 1 1 1
Direct
0.0000 0.0000 0.0000
0.5000 0.5000 0.7081
0.5000 0.5000 0.2797
0.0000 0.0000 0.4754
```

Output
Energy above the lowest structure with this stoichiometry = 0.000 eV/atom

Record 11
A relaxed LaPmTmHg crystal, computed with PBE-GGA.

Cell and atoms, written as POSCAR:
```
LaPmTmHg
1.0
7.8112 0.0000 0.0000
0.0000 7.8112 0.0000
0.0000 0.0000 7.8112
La Pm Tm Hg
4 4 4 4
Direct
0.0000 0.0000 0.0000
0.0000 0.5000 0.5000
0.5000 0.0000 0.5000
0.5000 0.5000 0.0000
0.2500 0.2500 0.7500
0.2500 0.7500 0.2500
0.7500 0.2500 0.2500
0.7500 0.7500 0.7500
0.0000 0.0000 0.5000
0.0000 0.5000 0.0000
0.5000 0.0000 0.0000
0.5000 0.5000 0.5000
0.2500 0.2500 0.2500
0.2500 0.7500 0.7500
0.7500 0.2500 0.7500
0.7500 0.7500 0.2500
```

Output
Energy above the lowest structure with this stoichiometry = 0.189 eV/atom

Record 12
A relaxed La2Pm2TmHg5 crystal, computed with PBE-GGA.

Cell and atoms, written as POSCAR:
```
La2Pm2TmHg5
1.0
12.2667 0.0000 0.0000
0.0000 12.2667 0.0000
0.0000 0.0000 3.9236
La Pm Tm Hg
4 4 2 10
Direct
0.1638 0.3362 0.0000
0.3362 0.8362 0.0000
0.6638 0.1638 0.0000
0.8362 0.6638 0.0000
0.1413 0.6413 0.0000
0.3587 0.1413 0.0000
0.6413 0.8587 0.0000
0.8587 0.3587 0.0000
0.0000 0.0000 0.0000
0.5000 0.5000 0.0000
0.0000 0.5000 0.5000
0.1108 0.8440 0.5000
0.1560 0.1108 0.5000
0.3440 0.6108 0.5000
0.3892 0.3440 0.5000
0.5000 0.0000 0.5000
0.6108 0.6560 0.5000
0.6560 0.3892 0.5000
0.8440 0.8892 0.5000
0.8892 0.1560 0.5000
```

Record 13
A relaxed La3Pm3Zn2Hg crystal, computed with PBE-GGA.

Cell and atoms, written as POSCAR:
```
La3Pm3Zn2Hg
1.0
8.9644 0.0000 0.0000
-4.4822 7.7634 0.0000
0.0000 0.0000 3.8074
La Pm Zn Hg
3 3 2 1
Direct
0.0000 0.6124 0.0000
0.3876 0.3876 0.0000
0.6124 0.0000 0.0000
0.0000 0.2866 0.5000
0.2866 0.0000 0.5000
0.7134 0.7134 0.5000
0.3333 0.6667 0.5000
0.6667 0.3333 0.5000
0.0000 0.0000 0.0000
```

Record 14
A relaxed La2PrHg3 crystal, computed with PBE-GGA.

Cell and atoms, written as POSCAR:
```
La2PrHg3
1.0
3.8973 0.0000 0.0000
0.0000 3.8973 0.0000
0.0000 0.0000 11.6862
La Pr Hg
2 1 3
Direct
0.0000 0.0000 0.1682
0.0000 0.0000 0.8318
0.0000 0.0000 0.5000
0.5000 0.5000 0.0000
0.5000 0.5000 0.3370
0.5000 0.5000 0.6630
```

Record 15
A relaxed La2PrHg2 crystal, computed with PBE-GGA.

Cell and atoms, written as POSCAR:
```
La2PrHg2
1.0
5.0506 0.0000 0.0000
0.0000 7.3670 0.0000
0.0000 0.0000 8.4453
La Pr Hg
4 2 4
Direct
0.0000 0.0000 0.1883
0.0000 0.0000 0.8117
0.5000 0.5000 0.3117
0.5000 0.5000 0.6883
0.0000 0.5000 0.0000
0.5000 0.0000 0.5000
0.0000 0.2850 0.5000
0.0000 0.7150 0.5000
0.5000 0.2150 0.0000
0.5000 0.7850 0.0000
```

Output
Energy above the lowest structure with this stoichiometry = 0.037 eV/atom

Record 16
A relaxed La3PrHg2 crystal, computed with PBE-GGA.

Cell and atoms, written as POSCAR:
```
La3PrHg2
1.0
5.4172 0.0000 0.0000
0.0000 9.9027 0.0000
0.0000 0.0000 7.1405
La Pr Hg
6 2 4
Direct
0.0000 0.0584 0.0000
0.0000 0.3265 0.3211
0.0000 0.6735 0.8211
0.0000 0.9416 0.5000
0.5000 0.1739 0.6963
0.5000 0.8261 0.1963
0.5000 0.4455 0.0202
0.5000 0.5545 0.5202
0.0000 0.3529 0.7779
0.0000 0.6471 0.2779
0.5000 0.1497 0.2413
0.5000 0.8503 0.7413
```

Output
Energy above the lowest structure with this stoichiometry = 0.000 eV/atom

Record 17
A relaxed La2PrHg2 crystal, computed with PBE-GGA.

Cell and atoms, written as POSCAR:
```
La2PrHg2
1.0
3.9097 0.0000 0.0000
0.0000 5.5612 0.0000
-1.9630 0.0000 14.2952
La Pr Hg
4 2 4
Direct
0.0464 0.2500 0.0924
0.2329 0.2500 0.4708
0.7671 0.7500 0.5292
0.9536 0.7500 0.9076
0.1475 0.7500 0.2901
0.8525 0.2500 0.7099
0.3582 0.7500 0.7144
0.4482 0.2500 0.8993
0.5518 0.7500 0.1007
0.6418 0.2500 0.2856
```

Output
Energy above the lowest structure with this stoichiometry = 0.000 eV/atom

Record 18
A relaxed LaPr3Hg crystal, computed with PBE-GGA.

Cell and atoms, written as POSCAR:
```
LaPr3Hg
1.0
15.3230 -1.8909 0.0000
15.3230 1.8909 0.0000
-0.0100 0.0000 5.7910
La Pr Hg
2 6 2
Direct
0.2335 0.2335 0.2491
0.7665 0.7665 0.7509
0.1585 0.1585 0.7507
0.3731 0.3731 0.7513
0.4526 0.4526 0.2599
0.5474 0.5474 0.7401
0.6269 0.6269 0.2487
0.8415 0.8415 0.2493
0.0407 0.0407 0.2336
0.9593 0.9593 0.7664
```

Output
Energy above the lowest structure with this stoichiometry = 0.000 eV/atom

Record 19
A relaxed La3Pr3Hg2 crystal, computed with PBE-GGA.

Cell and atoms, written as POSCAR:
```
La3Pr3Hg2
1.0
2.6438 -6.1154 0.0000
2.6438 6.1154 0.0000
0.0000 0.0000 16.5508
La Pr Hg
6 6 4
Direct
0.0393 0.9607 0.6119
0.0393 0.9607 0.8881
0.3017 0.6983 0.7500
0.6983 0.3017 0.2500
0.9607 0.0393 0.1119
0.9607 0.0393 0.3881
0.3605 0.6395 0.5297
0.3605 0.6395 0.9703
0.4318 0.5682 0.2500
0.5682 0.4318 0.7500
0.6395 0.3605 0.0297
0.6395 0.3605 0.4703
0.2284 0.7716 0.1301
0.2284 0.7716 0.3699
0.7716 0.2284 0.6301
0.7716 0.2284 0.8699
```

Record 20
A relaxed La4Pr3Hg2 crystal, computed with PBE-GGA.

Cell and atoms, written as POSCAR:
```
La4Pr3Hg2
1.0
8.3565 -5.8029 0.0000
8.3565 5.8029 0.0000
-0.5549 0.0000 6.1664
La Pr Hg
8 6 4
Direct
0.1119 0.8018 0.9764
0.1767 0.4175 0.0985
0.1982 0.8881 0.5236
0.4175 0.1767 0.5985
0.5825 0.8233 0.4015
0.8018 0.1119 0.4764
0.8233 0.5825 0.9015
0.8881 0.1982 0.0236
0.0598 0.2779 0.5624
0.2779 0.0598 0.0624
0.4387 0.5613 0.2500
0.5613 0.4387 0.7500
0.7221 0.9402 0.9376
0.9402 0.7221 0.4376
0.2304 0.5221 0.6323
0.4779 0.7696 0.8677
0.5221 0.2304 0.1323
0.7696 0.4779 0.3677
```

Number 1: energy of formation from the pure elements -0.623 eV per atom. Number 2: energy of formation from the pure elements -0.400 eV per atom. Number 3: energy of formation from the pure elements -0.476 eV per atom. Number 4: energy of formation from the pure elements -0.338 eV per atom. Number 5: energy of formation from the pure elements 0.006 eV per atom. Number 6: energy of formation from the pure elements -0.268 eV per atom. Number 7: energy of formation from the pure elements -0.285 eV per atom. Number 8: energy of formation from the pure elements -0.252 eV per atom. Number 9: energy of formation from the pure elements -0.464 eV per atom. Number 10: energy of formation from the pure elements -0.227 eV per atom. Number 11: energy of formation from the pure elements -0.038 eV per atom. Number 12: energy of formation from the pure elements -0.338 eV per atom. Number 13: energy of formation from the pure elements -0.185 eV per atom. Number 14: energy of formation from the pure elements -0.490 eV per atom. Number 15: energy of formation from the pure elements -0.343 eV per atom. Number 16: energy of formation from the pure elements -0.342 eV per atom. Number 17: energy of formation from the pure elements -0.381 eV per atom. Number 18: energy of formation from the pure elements -0.170 eV per atom. Number 19: energy of formation from the pure elements -0.185 eV per atom. Number 20: energy of formation from the pure elements -0.143 eV per atom.